Entry 1:
Here is a geometry-optimized PdRuW2N structure from the Alexandria database. Energies are from PBE.

Calculated values
space group	No. 123
E_tot	-48.39	eV/f.u.

a b c (Å): 4.084 4.084 4.101
angles (deg): 90.00 90.00 90.00
Sites, in units of the cell vectors:
W  0.000  0.500  0.000
W  0.500  0.000  0.000
Ru  0.000  0.000  0.500
Pd  0.500  0.500  0.500
N  0.000  0.000  0.000



Entry 2:
Here is a geometry-optimized Y2PdRuN structure from the Alexandria database. Energies are from PBE.

Calculated values
space group	No. 123
E_tot	-40.05	eV/f.u.

a b c (Å): 4.902 4.902 3.827
angles (deg): 90.00 90.00 90.00
Sites, in units of the cell vectors:
N  0.000  0.000  0.000
Ru  0.000  0.000  0.500
Y  0.000  0.500  0.000
Y  0.500  0.000  0.000
Pd  0.500  0.500  0.500



Number 1: ΔE_f (raw) 0.06 eV/atom. Number 2: ΔE_f (raw) -0.87 eV/atom.